The following is a DFT calculation (PBE) of PrHo9In2 after structural relaxation.

Values from the calculation:
E   -4.445 eV per atom
Total moment   0.0000 μB per atom
Energy of formation from the pure elements   -0.157 eV/atom

```
data_PrHo9In2
_symmetry_space_group_name_H-M 'P 4/m m m'
_symmetry_Int_Tables_number 123
_symmetry_space_group_name_Hall '-P 4 2'
_cell_length_a 4.863
_cell_length_b 4.863
_cell_length_c 14.966
_cell_angle_alpha 90.00
_cell_angle_beta 90.00
_cell_angle_gamma 90.00
loop_
_atom_site_label
_atom_site_fract_x
_atom_site_fract_y
_atom_site_fract_z
Pr1 0.000 0.000 0.000
Ho1 0.000 0.500 0.176
Ho2 0.000 0.500 0.500
Ho3 0.500 0.500 0.000
Ho4 0.500 0.500 0.339
In1 0.000 0.000 0.340
```